# Ac2TbPm (GGA-PBE, relaxed)
# ΔE_f: 0.21 eV per formula unit
# E above lowest polymorph: 0.019 eV per atom
# spin magnetization: 0.00 μB per cell
# crystal system: trigonal
data_Ac2TbPm
_space_group_name_H-M_alt 'R 3 m'
_space_group_IT_number 160
_space_group_name_Hall 'R 3 -2"'
_cell_length_a 3.8270
_cell_length_b 3.8270
_cell_length_c 36.5899
_cell_angle_alpha 90.00
_cell_angle_beta 90.00
_cell_angle_gamma 120.00
loop_
_atom_site_label
_atom_site_fract_x
_atom_site_fract_y
_atom_site_fract_z
_atom_site_occupancy
Ac1 0.0000 0.0000 0.0000 1
Ac2 0.0000 0.0000 0.1682 1
Tb1 0.0000 0.0000 0.5850 1
Pm1 0.0000 0.0000 0.4166 1


# TbEr2Cd4 (GGA-PBE, relaxed)
# ΔE_f: 0.54 eV per formula unit
# E above lowest polymorph: 0.227 eV per atom
# spin magnetization: 0.00 μB per cell
# crystal system: orthorhombic
data_TbEr2Cd4
_space_group_name_H-M_alt 'C m m m'
_space_group_IT_number 65
_space_group_name_Hall '-C 2 2'
_cell_length_a 5.907
_cell_length_b 12.771
_cell_length_c 5.382
_cell_angle_alpha 90.00
_cell_angle_beta 90.00
_cell_angle_gamma 90.00
loop_
_atom_site_label
_atom_site_fract_x
_atom_site_fract_y
_atom_site_fract_z
_atom_site_occupancy
Tb1 0.000 0.000 0.000 1
Er1 0.000 0.356 0.500 1
Cd1 0.000 0.114 0.500 1
Cd2 0.000 0.243 0.000 1


# K2AcGaTe4 (GGA-PBE, relaxed)
# ΔE_f (raw): -7.20 eV per formula unit
# spin magnetization: 0.00 μB per cell
# crystal system: monoclinic
data_K2AcGaTe4
_space_group_name_H-M_alt 'C 1 2/c 1'
_space_group_IT_number 15
_cell_length_a 13.235
_cell_length_b 13.637
_cell_length_c 9.084
_cell_angle_alpha 90.00
_cell_angle_beta 131.80
_cell_angle_gamma 90.00
loop_
_space_group_symop_operation_xyz
'x,y,z'
'-x,-y,-z'
'-x,y,-z+1/2'
'x,-y,z+1/2'
'x+1/2,y+1/2,z'
'-x+1/2,-y+1/2,-z'
'-x+1/2,y+1/2,-z+1/2'
'x+1/2,-y+1/2,z+1/2'
loop_
_atom_site_label
_atom_site_fract_x
_atom_site_fract_y
_atom_site_fract_z
_atom_site_occupancy
K1 0.000 0.000 0.000 1
K2 0.250 0.250 0.000 1
Ac1 0.250 0.250 0.500 1
Ga1 0.000 0.500 0.000 1
Te1 0.003 0.259 0.013 1
Te2 0.195 0.498 0.483 1


# TaZnRe2 (GGA-PBE, relaxed)
# ΔE_f: 0.29 eV per formula unit
# spin magnetization: 0.00 μB per cell
# crystal system: orthorhombic
data_TaZnRe2
_space_group_name_H-M_alt 'P m m 2'
_space_group_IT_number 25
_cell_length_a 2.848
_cell_length_b 3.995
_cell_length_c 5.478
_cell_angle_alpha 90.00
_cell_angle_beta 90.00
_cell_angle_gamma 90.00
loop_
_space_group_symop_operation_xyz
'x,y,z'
'-x,-y,z'
'-x,y,z'
'x,-y,z'
loop_
_atom_site_label
_atom_site_fract_x
_atom_site_fract_y
_atom_site_fract_z
_atom_site_occupancy
Ta1 0.000 0.000 0.000 1
Zn1 0.500 0.500 0.254 1
Re1 0.000 0.000 0.515 1
Re2 0.500 0.500 0.739 1


# K3Tl9Hg2 (GGA-PBE, relaxed)
# ΔE_f: -1.09 eV per formula unit
# spin magnetization: 0.00 μB per cell
# crystal system: orthorhombic
data_K3Tl9Hg2
_space_group_name_H-M_alt 'I m m m'
_space_group_IT_number 71
_space_group_name_Hall '-I 2 2'
_cell_length_a 5.349
_cell_length_b 11.843
_cell_length_c 14.794
_cell_angle_alpha 90.00
_cell_angle_beta 90.00
_cell_angle_gamma 90.00
loop_
_atom_site_label
_atom_site_fract_x
_atom_site_fract_y
_atom_site_fract_z
_atom_site_occupancy
K1 0.000 0.000 0.000 1
K2 0.000 0.000 0.303 1
Tl1 0.000 0.276 0.135 1
Tl2 0.000 0.365 0.341 1
Tl3 0.000 0.500 0.000 1
Hg1 0.000 0.174 0.500 1


# BaSi2As (GGA-PBE, relaxed)
# ΔE_f (raw): 0.78 eV per formula unit
# spin magnetization: 0.00 μB per cell
# crystal system: tetragonal
data_BaSi2As
_space_group_name_H-M_alt 'P 4/m m m'
_space_group_IT_number 123
_space_group_name_Hall '-P 4 2'
_cell_length_a 4.519
_cell_length_b 4.519
_cell_length_c 4.660
_cell_angle_alpha 90.00
_cell_angle_beta 90.00
_cell_angle_gamma 90.00
loop_
_atom_site_label
_atom_site_fract_x
_atom_site_fract_y
_atom_site_fract_z
_atom_site_occupancy
Ba1 0.000 0.000 0.000 1
Si1 0.000 0.500 0.500 1
As1 0.500 0.500 0.000 1


# Mg2CdGe (GGA-PBE, relaxed)
# ΔE_f: -0.36 eV per formula unit
# spin magnetization: 0.00 μB per cell
# crystal system: tetragonal
data_Mg2CdGe
_space_group_name_H-M_alt 'P 4/m m m'
_space_group_IT_number 123
_space_group_name_Hall '-P 4 2'
_cell_length_a 4.530
_cell_length_b 4.530
_cell_length_c 3.975
_cell_angle_alpha 90.00
_cell_angle_beta 90.00
_cell_angle_gamma 90.00
loop_
_atom_site_label
_atom_site_fract_x
_atom_site_fract_y
_atom_site_fract_z
_atom_site_occupancy
Mg1 0.000 0.500 0.000 1
Cd1 0.000 0.000 0.500 1
Ge1 0.500 0.500 0.500 1


# Th4H2Pb5 (GGA-PBE, relaxed)
# spin magnetization: 0.00 μB per cell
# crystal system: monoclinic
# E_tot: -112.36 eV per cell
data_Th4H2Pb5
_space_group_name_H-M_alt 'C 1 2/m 1'
_space_group_IT_number 12
_cell_length_a 19.981
_cell_length_b 3.452
_cell_length_c 9.223
_cell_angle_alpha 90.00
_cell_angle_beta 113.47
_cell_angle_gamma 90.00
loop_
_space_group_symop_operation_xyz
'x,y,z'
'-x,-y,-z'
'-x,y,-z'
'x,-y,z'
'x+1/2,y+1/2,z'
'-x+1/2,-y+1/2,-z'
'-x+1/2,y+1/2,-z'
'x+1/2,-y+1/2,z'
loop_
_atom_site_label
_atom_site_fract_x
_atom_site_fract_y
_atom_site_fract_z
_atom_site_occupancy
Th1 0.015 0.000 0.194 1
Th2 0.175 0.500 0.149 1
H1 0.050 0.500 0.035 1
Pb1 0.000 0.500 0.500 1
Pb2 0.151 0.000 0.814 1
Pb3 0.178 0.000 0.490 1


# ScBeCoNi (GGA-PBE, relaxed)
# ΔE_f: -1.00 eV per formula unit
# spin magnetization: 0.00 μB per cell
# crystal system: cubic
data_ScBeCoNi
_space_group_name_H-M_alt 'F -4 3 m'
_space_group_IT_number 216
_space_group_name_Hall 'F -4 2 3'
_cell_length_a 5.802
_cell_length_b 5.802
_cell_length_c 5.802
_cell_angle_alpha 90.00
_cell_angle_beta 90.00
_cell_angle_gamma 90.00
loop_
_atom_site_label
_atom_site_fract_x
_atom_site_fract_y
_atom_site_fract_z
_atom_site_occupancy
Sc1 0.000 0.000 0.000 1
Be1 0.000 0.000 0.500 1
Co1 0.250 0.250 0.750 1
Ni1 0.250 0.250 0.250 1


# Cs2UAlS5 (GGA-PBE, relaxed)
# ΔE_f (raw): -11.29 eV per formula unit
# spin magnetization: 3.95 μB per cell
# crystal system: orthorhombic
data_Cs2UAlS5
_space_group_name_H-M_alt 'C m c 21'
_space_group_IT_number 36
_cell_length_a 4.055
_cell_length_b 19.782
_cell_length_c 15.068
_cell_angle_alpha 90.00
_cell_angle_beta 90.00
_cell_angle_gamma 90.00
loop_
_space_group_symop_operation_xyz
'x,y,z'
'-x,-y,z+1/2'
'-x,y,z'
'x,-y,z+1/2'
'x+1/2,y+1/2,z'
'-x+1/2,-y+1/2,z+1/2'
'-x+1/2,y+1/2,z'
'x+1/2,-y+1/2,z+1/2'
loop_
_atom_site_label
_atom_site_fract_x
_atom_site_fract_y
_atom_site_fract_z
_atom_site_occupancy
Cs1 0.000 0.112 0.000 1
Cs2 0.000 0.127 0.645 1
U1 0.000 0.201 0.345 1
Al1 0.000 0.429 0.746 1
S1 0.000 0.063 0.334 1
S2 0.000 0.301 0.957 1
S3 0.000 0.312 0.724 1
S4 0.000 0.323 0.327 1
S5 0.000 0.489 0.629 1


# Ti6Ga3Cu (GGA-PBE, relaxed)
# ΔE_f: -1.50 eV per formula unit
# spin magnetization: 1.26 μB per cell
# crystal system: orthorhombic
data_Ti6Ga3Cu
_space_group_name_H-M_alt 'P n n m'
_space_group_IT_number 58
_cell_length_a 7.737
_cell_length_b 9.622
_cell_length_c 4.467
_cell_angle_alpha 90.00
_cell_angle_beta 90.00
_cell_angle_gamma 90.00
loop_
_space_group_symop_operation_xyz
'x,y,z'
'-x,-y,-z'
'-x,-y,z'
'x,y,-z'
'x+1/2,-y+1/2,-z+1/2'
'-x+1/2,y+1/2,z+1/2'
'-x+1/2,y+1/2,-z+1/2'
'x+1/2,-y+1/2,z+1/2'
loop_
_atom_site_label
_atom_site_fract_x
_atom_site_fract_y
_atom_site_fract_z
_atom_site_occupancy
Ti1 0.001 0.243 0.000 1
Ti2 0.165 0.593 0.500 1
Ti3 0.167 0.908 0.500 1
Ga1 0.000 0.500 0.000 1
Ga2 0.168 0.242 0.500 1
Cu1 0.000 0.000 0.000 1


# TiMnS2 (GGA-PBE, relaxed)
# ΔE_f (raw): -3.68 eV per formula unit
# E above lowest polymorph: 0.008 eV per atom
# spin magnetization: 12.52 μB per cell
# crystal system: orthorhombic
data_TiMnS2
_space_group_name_H-M_alt 'P m n a'
_space_group_IT_number 53
_cell_length_a 4.694
_cell_length_b 6.078
_cell_length_c 9.603
_cell_angle_alpha 90.00
_cell_angle_beta 90.00
_cell_angle_gamma 90.00
loop_
_space_group_symop_operation_xyz
'x,y,z'
'-x,-y,-z'
'-x+1/2,-y,z+1/2'
'x+1/2,y,-z+1/2'
'x,-y,-z'
'-x,y,z'
'-x+1/2,y,-z+1/2'
'x+1/2,-y,z+1/2'
loop_
_atom_site_label
_atom_site_fract_x
_atom_site_fract_y
_atom_site_fract_z
_atom_site_occupancy
Ti1 0.000 0.154 0.133 1
Mn1 0.000 0.130 0.623 1
S1 0.000 0.243 0.877 1
S2 0.000 0.270 0.376 1


# Pr7Nd3Er (GGA-PBE, relaxed)
# ΔE_f: 2.49 eV per formula unit
# E above lowest polymorph: 0.005 eV per atom
# spin magnetization: 0.00 μB per cell
# crystal system: monoclinic
data_Pr7Nd3Er
_space_group_name_H-M_alt 'C 1 2/m 1'
_space_group_IT_number 12
_cell_length_a 11.879
_cell_length_b 10.388
_cell_length_c 6.584
_cell_angle_alpha 90.00
_cell_angle_beta 94.79
_cell_angle_gamma 90.00
loop_
_space_group_symop_operation_xyz
'x,y,z'
'-x,-y,-z'
'-x,y,-z'
'x,-y,z'
'x+1/2,y+1/2,z'
'-x+1/2,-y+1/2,-z'
'-x+1/2,y+1/2,-z'
'x+1/2,-y+1/2,z'
loop_
_atom_site_label
_atom_site_fract_x
_atom_site_fract_y
_atom_site_fract_z
_atom_site_occupancy
Pr1 0.000 0.000 0.000 1
Pr2 0.240 0.500 0.216 1
Pr3 0.244 0.173 0.262 1
Nd1 0.000 0.329 0.000 1
Nd2 0.000 0.500 0.500 1
Er1 0.000 0.000 0.500 1


# Pr3Nd2Cd2 (GGA-PBE, relaxed)
# ΔE_f: -0.72 eV per formula unit
# E above lowest polymorph: 0.049 eV per atom
# spin magnetization: 1.83 μB per cell
# crystal system: orthorhombic
data_Pr3Nd2Cd2
_space_group_name_H-M_alt 'C m m m'
_space_group_IT_number 65
_space_group_name_Hall '-C 2 2'
_cell_length_a 3.787
_cell_length_b 32.342
_cell_length_c 3.727
_cell_angle_alpha 90.00
_cell_angle_beta 90.00
_cell_angle_gamma 90.00
loop_
_atom_site_label
_atom_site_fract_x
_atom_site_fract_y
_atom_site_fract_z
_atom_site_occupancy
Pr1 0.000 0.000 0.000 1
Pr2 0.000 0.420 0.500 1
Nd1 0.000 0.297 0.500 1
Cd1 0.000 0.142 0.000 1


# MnPdW2 (GGA-PBE, relaxed)
# ΔE_f: 2.72 eV per formula unit
# E above lowest polymorph: 0.220 eV per atom
# spin magnetization: 13.04 μB per cell
# crystal system: tetragonal
data_MnPdW2
_space_group_name_H-M_alt 'I -4 2 d'
_space_group_IT_number 122
_space_group_name_Hall 'I -4 2bw'
_cell_length_a 3.716
_cell_length_b 3.716
_cell_length_c 19.241
_cell_angle_alpha 90.00
_cell_angle_beta 90.00
_cell_angle_gamma 90.00
loop_
_atom_site_label
_atom_site_fract_x
_atom_site_fract_y
_atom_site_fract_z
_atom_site_occupancy
Mn1 0.000 0.000 0.000 1
Pd1 0.000 0.000 0.500 1
W1 0.237 0.250 0.125 1


# TaTiBr2Cl (GGA-PBE, relaxed)
# ΔE_f (raw): 1.77 eV per formula unit
# spin magnetization: 2.11 μB per cell
# crystal system: tetragonal
data_TaTiBr2Cl
_space_group_name_H-M_alt 'P 4/m m m'
_space_group_IT_number 123
_space_group_name_Hall '-P 4 2'
_cell_length_a 4.873
_cell_length_b 4.873
_cell_length_c 5.396
_cell_angle_alpha 90.00
_cell_angle_beta 90.00
_cell_angle_gamma 90.00
loop_
_atom_site_label
_atom_site_fract_x
_atom_site_fract_y
_atom_site_fract_z
_atom_site_occupancy
Ta1 0.000 0.000 0.000 1
Ti1 0.000 0.000 0.500 1
Br1 0.000 0.500 0.500 1
Cl1 0.500 0.500 0.000 1


# Hf8Al3In2 (GGA-PBE, relaxed)
# ΔE_f: 1.63 eV per formula unit
# spin magnetization: 0.00 μB per cell
# crystal system: orthorhombic
data_Hf8Al3In2
_space_group_name_H-M_alt 'C m m m'
_space_group_IT_number 65
_space_group_name_Hall '-C 2 2'
_cell_length_a 9.169
_cell_length_b 14.441
_cell_length_c 4.457
_cell_angle_alpha 90.00
_cell_angle_beta 90.00
_cell_angle_gamma 90.00
loop_
_atom_site_label
_atom_site_fract_x
_atom_site_fract_y
_atom_site_fract_z
_atom_site_occupancy
Hf1 0.000 0.106 0.000 1
Hf2 0.000 0.366 0.000 1
Hf3 0.247 0.378 0.500 1
Al1 0.000 0.500 0.500 1
Al2 0.234 0.500 0.000 1
In1 0.000 0.239 0.500 1


# ZnPd7Au4 (GGA-PBE, relaxed)
# ΔE_f: 0.45 eV per formula unit
# spin magnetization: 0.00 μB per cell
# crystal system: monoclinic
data_ZnPd7Au4
_space_group_name_H-M_alt 'C 1 2/m 1'
_space_group_IT_number 12
_cell_length_a 9.941
_cell_length_b 4.810
_cell_length_c 10.059
_cell_angle_alpha 90.00
_cell_angle_beta 119.13
_cell_angle_gamma 90.00
loop_
_space_group_symop_operation_xyz
'x,y,z'
'-x,-y,-z'
'-x,y,-z'
'x,-y,z'
'x+1/2,y+1/2,z'
'-x+1/2,-y+1/2,-z'
'-x+1/2,y+1/2,-z'
'x+1/2,-y+1/2,z'
loop_
_atom_site_label
_atom_site_fract_x
_atom_site_fract_y
_atom_site_fract_z
_atom_site_occupancy
Zn1 0.000 0.000 0.000 1
Pd1 0.000 0.500 0.000 1
Pd2 0.116 0.000 0.462 1
Pd3 0.157 0.500 0.618 1
Pd4 0.226 0.500 0.921 1
Au1 0.080 0.500 0.306 1
Au2 0.182 0.000 0.772 1


# Mg2AlB (GGA-PBE, relaxed)
# ΔE_f: 0.44 eV per formula unit
# E above lowest polymorph: 0.000 eV per atom
# spin magnetization: 0.00 μB per cell
# crystal system: triclinic
data_Mg2AlB
_space_group_name_H-M_alt 'P 1'
_space_group_IT_number 1
_cell_length_a 4.885
_cell_length_b 5.498
_cell_length_c 5.866
_cell_angle_alpha 65.01
_cell_angle_beta 78.13
_cell_angle_gamma 67.34
loop_
_space_group_symop_operation_xyz
'x,y,z'
loop_
_atom_site_label
_atom_site_fract_x
_atom_site_fract_y
_atom_site_fract_z
_atom_site_occupancy
Mg1 0.000 0.000 0.000 1
Mg2 0.115 0.474 0.564 1
Mg3 0.340 0.300 0.108 1
Mg4 0.630 0.642 0.191 1
Al1 0.450 0.811 0.642 1
Al2 0.876 0.067 0.492 1
B1 0.526 0.070 0.818 1
B2 0.627 0.368 0.682 1


# KHfI3 (GGA-PBE, relaxed)
# ΔE_f (raw): -3.13 eV per formula unit
# E above lowest polymorph: 0.000 eV per atom
# spin magnetization: 0.00 μB per cell
# crystal system: cubic
data_KHfI3
_space_group_name_H-M_alt 'P m -3 m'
_space_group_IT_number 221
_space_group_name_Hall '-P 4 2 3'
_cell_length_a 5.775
_cell_length_b 5.775
_cell_length_c 5.775
_cell_angle_alpha 90.00
_cell_angle_beta 90.00
_cell_angle_gamma 90.00
loop_
_atom_site_label
_atom_site_fract_x
_atom_site_fract_y
_atom_site_fract_z
_atom_site_occupancy
K1 0.000 0.000 0.000 1
Hf1 0.500 0.500 0.500 1
I1 0.000 0.500 0.500 1


# KCoRhSe3 (GGA-PBE, relaxed)
# ΔE_f (raw): -3.38 eV per formula unit
# spin magnetization: 3.36 μB per cell
# crystal system: monoclinic
data_KCoRhSe3
_space_group_name_H-M_alt 'P 1 21/m 1'
_space_group_IT_number 11
_cell_length_a 8.467
_cell_length_b 3.787
_cell_length_c 9.460
_cell_angle_alpha 90.00
_cell_angle_beta 114.33
_cell_angle_gamma 90.00
loop_
_space_group_symop_operation_xyz
'x,y,z'
'-x,-y,-z'
'-x,y+1/2,-z'
'x,-y+1/2,z'
loop_
_atom_site_label
_atom_site_fract_x
_atom_site_fract_y
_atom_site_fract_z
_atom_site_occupancy
K1 0.234 0.250 0.258 1
Co1 0.084 0.250 0.603 1
Rh1 0.316 0.750 0.842 1
Se1 0.123 0.250 0.861 1
Se2 0.215 0.750 0.546 1
Se3 0.477 0.750 0.135 1


# AlNiTe4 (GGA-PBE, relaxed)
# ΔE_f (raw): 5.13 eV per formula unit
# spin magnetization: 4.85 μB per cell
# crystal system: cubic
data_AlNiTe4
_space_group_name_H-M_alt 'F -4 3 m'
_space_group_IT_number 216
_space_group_name_Hall 'F -4 2 3'
_cell_length_a 8.924
_cell_length_b 8.924
_cell_length_c 8.924
_cell_angle_alpha 90.00
_cell_angle_beta 90.00
_cell_angle_gamma 90.00
loop_
_atom_site_label
_atom_site_fract_x
_atom_site_fract_y
_atom_site_fract_z
_atom_site_occupancy
Al1 0.000 0.000 0.000 1
Ni1 0.250 0.250 0.750 1
Te1 0.124 0.124 0.376 1


# BeCoAu2 (GGA-PBE, relaxed)
# ΔE_f: 1.13 eV per formula unit
# spin magnetization: 5.64 μB per cell
# crystal system: cubic
data_BeCoAu2
_space_group_name_H-M_alt 'F -4 3 m'
_space_group_IT_number 216
_space_group_name_Hall 'F -4 2 3'
_cell_length_a 6.149
_cell_length_b 6.149
_cell_length_c 6.149
_cell_angle_alpha 90.00
_cell_angle_beta 90.00
_cell_angle_gamma 90.00
loop_
_atom_site_label
_atom_site_fract_x
_atom_site_fract_y
_atom_site_fract_z
_atom_site_occupancy
Be1 0.000 0.000 0.000 1
Co1 0.250 0.250 0.750 1
Au1 0.000 0.000 0.500 1
Au2 0.250 0.250 0.250 1